Entry 1:
## Sc3BeTl (GGA-PBE)

Data for a relaxed structure of Sc3BeTl.

Cell lengths 5.3326, 5.3326, 5.3326 Å; angles 90.00, 90.00, 90.00 degrees
With the nearest neighbours (Å) after each atom.
Sites, in units of the cell vectors:
Sc: 0.0000 0.0000 0.5000  2 Tl 2.67
Sc: 0.5000 0.0000 0.0000  2 Tl 2.67
Sc: 0.0000 0.5000 0.0000  2 Tl 2.67
Be: 0.5000 0.5000 0.5000  12 Sc 3.77
Tl: 0.0000 0.0000 0.0000  6 Sc 2.67

Calculated values
Total magnetization   1.78 Bohr magnetons per cell
Space-group type   No. 221
Energy relative to the elements   0.944 eV per atom


Entry 2:
## Be2PtW (GGA-PBE)

Data for a relaxed structure of Be2PtW.

Cell lengths 2.7403, 4.7152, 4.0012 Å; angles 90.00, 90.00, 90.00 degrees
With the nearest neighbours (Å) after each atom.
Sites, in units of the cell vectors:
Pt: 0.5000 0.0000 0.5000  4 Be 2.42
Be: 0.0000 0.0000 0.0000  4 Pt 2.42
Be: 0.5000 0.5000 0.0000  4 W 2.42
W: 0.0000 0.5000 0.5000  4 Be 2.42

Calculated values
Total magnetization   0.00 Bohr magnetons per cell
Space-group type   No. 47
Energy relative to the elements   0.059 eV per atom


Entry 3:
## Ba2PaPbS6 (GGA-PBE)

Data for a relaxed structure of Ba2PaPbS6.

Cell lengths 7.2672, 7.6395, 10.4445 Å; angles 90.00, 90.58, 90.00 degrees
With the nearest neighbours (Å) after each atom.
Sites, in units of the cell vectors:
Pa: 0.5000 0.0000 0.0000  6 S 2.62-2.65
Pa: 0.0000 0.5000 0.5000  6 S 2.62-2.65
S: 0.2929 0.6905 0.4519  1 Pa 2.63, 1 Pb 2.84
S: 0.6858 0.2897 0.9471  1 Pa 2.65, 1 Pb 2.84
S: 0.1858 0.2103 0.4471  1 Pa 2.65, 1 Pb 2.84
S: 0.0996 0.4730 0.7414  1 Pa 2.62, 1 Pb 2.81
S: 0.9004 0.5270 0.2586  1 Pa 2.62, 1 Pb 2.81
S: 0.7929 0.8095 0.9519  1 Pa 2.63, 1 Pb 2.84
S: 0.8142 0.7897 0.5529  1 Pa 2.65, 1 Pb 2.84
S: 0.2071 0.1905 0.0481  1 Pa 2.63, 1 Pb 2.84
S: 0.3142 0.7103 0.0529  1 Pa 2.65, 1 Pb 2.84
S: 0.5996 0.0270 0.2414  1 Pa 2.62, 1 Pb 2.81
S: 0.4004 0.9730 0.7586  1 Pa 2.62, 1 Pb 2.81
S: 0.7071 0.3095 0.5481  1 Pa 2.63, 1 Pb 2.84
Ba: 0.5231 0.5718 0.7475  6 S 3.17-3.41
Ba: 0.0231 0.9282 0.2475  6 S 3.17-3.41
Ba: 0.9769 0.0718 0.7525  6 S 3.17-3.41
Ba: 0.4769 0.4282 0.2525  6 S 3.17-3.41
Pb: 0.5000 0.0000 0.5000  6 S 2.81-2.84
Pb: 0.0000 0.5000 0.0000  6 S 2.81-2.84

Calculated values
Formation energy from raw total energies   -1.492 eV per atom
Total magnetization   0.00 Bohr magnetons per cell
Space-group type   No. 14


Entry 4:
## Mg2BeAl2Ni5 (GGA-PBE)

Data for a relaxed structure of Mg2BeAl2Ni5.

Cell lengths 2.7812, 9.6558, 9.6558 Å; angles 90.00, 90.00, 90.00 degrees
With the nearest neighbours (Å) after each atom.
Sites, in units of the cell vectors:
Ni: 0.5000 0.9506 0.1800  2 Be 2.28, 2 Al 2.40, 2 Ni 2.55
Ni: 0.5000 0.8200 0.9506  2 Be 2.28, 2 Al 2.40, 2 Ni 2.55
Ni: 0.5000 0.5494 0.6800  2 Be 2.28, 2 Al 2.40, 2 Ni 2.55
Ni: 0.5000 0.3200 0.5494  2 Be 2.28, 2 Al 2.40, 2 Ni 2.55
Ni: 0.5000 0.5000 0.0000  4 Al 2.34
Ni: 0.5000 0.0000 0.5000  4 Al 2.34
Ni: 0.5000 0.0494 0.8200  2 Be 2.28, 2 Al 2.40, 2 Ni 2.55
Ni: 0.5000 0.4506 0.3200  2 Be 2.28, 2 Al 2.40, 2 Ni 2.55
Ni: 0.5000 0.1800 0.0494  2 Be 2.28, 2 Al 2.40, 2 Ni 2.55
Ni: 0.5000 0.6800 0.4506  2 Be 2.28, 2 Al 2.40, 2 Ni 2.55
Be: 0.0000 0.5000 0.5000  8 Ni 2.28
Be: 0.0000 0.0000 0.0000  8 Ni 2.28
Al: 0.0000 0.3622 0.1378  6 Ni 2.34-2.40
Al: 0.0000 0.8622 0.3622  6 Ni 2.34-2.40
Al: 0.0000 0.1378 0.6378  6 Ni 2.34-2.40
Al: 0.0000 0.6378 0.8622  6 Ni 2.34-2.40
Mg: 0.0000 0.1672 0.3328  3 Al 2.66-2.96, 6 Ni 2.67-2.91, 2 Mg 2.78
Mg: 0.0000 0.6672 0.1672  3 Al 2.66-2.96, 6 Ni 2.67-2.91, 2 Mg 2.78
Mg: 0.0000 0.8328 0.6672  3 Al 2.66-2.96, 6 Ni 2.67-2.91, 2 Mg 2.78
Mg: 0.0000 0.3328 0.8328  3 Al 2.66-2.96, 6 Ni 2.67-2.91, 2 Mg 2.78

Calculated values
Total magnetization   0.00 Bohr magnetons per cell
Space-group type   No. 127
Energy relative to the elements   -0.261 eV per atom


Entry 5:
## Ho4RuI5 (GGA-PBE)

Data for a relaxed structure of Ho4RuI5.

Cell lengths 4.0959, 9.0033, 9.9107 Å; angles 102.56, 101.93, 90.00 degrees
With the nearest neighbours (Å) after each atom.
Sites, in units of the cell vectors:
Ho: 0.6384 0.0710 0.2768  1 Ru 2.62
Ho: 0.0000 0.7966 0.9999  2 Ru 2.75
Ho: 0.0000 0.2034 0.0001  2 Ru 2.75
Ho: 0.3616 0.9290 0.7232  1 Ru 2.62
I: 0.8237 0.1660 0.6474  4 Ho 3.16-3.50
I: 0.5000 0.5000 0.0000  4 Ho 3.37
I: 0.1763 0.8340 0.3526  4 Ho 3.16-3.50
I: 0.1678 0.3393 0.3356  3 Ho 3.12-3.21
I: 0.8322 0.6607 0.6644  3 Ho 3.12-3.21
Ru: 0.5000 0.0000 0.0000  6 Ho 2.62-2.75

Calculated values
Formation energy from raw total energies   -1.040 eV per atom
Total magnetization   0.00 Bohr magnetons per cell
Space-group type   No. 12


Entry 6:
## LiGaS2 (GGA-PBE)

Data for a relaxed structure of LiGaS2.

Cell lengths 15.9226, 3.5417, 8.5842 Å; angles 90.00, 134.34, 90.00 degrees
With the nearest neighbours (Å) after each atom.
Sites, in units of the cell vectors:
Li: 0.8354 0.4988 0.4775  3 S 2.42-2.45
Li: 0.6646 0.9988 0.0225  3 S 2.42-2.45
Li: 0.1646 0.5012 0.5225  3 S 2.42-2.45
Li: 0.3354 0.0012 0.9775  3 S 2.42-2.45
S: 0.5189 0.4997 0.4050  1 S 2.10
S: 0.4811 0.5003 0.5950  1 S 2.10
S: 0.0189 0.0003 0.9050  1 S 2.10
S: 0.6953 0.9989 0.3442  1 Ga 2.22, 3 Li 2.42-2.45
S: 0.3047 0.0011 0.6558  1 Ga 2.22, 3 Li 2.42-2.45
S: 0.9811 0.9997 0.0950  1 S 2.10
S: 0.1953 0.5011 0.8442  1 Ga 2.22, 3 Li 2.42-2.45
S: 0.8047 0.4989 0.1558  1 Ga 2.22, 3 Li 2.42-2.45
Ga: 0.8247 0.4995 0.9248  1 S 2.22
Ga: 0.6753 0.9995 0.5752  1 S 2.22
Ga: 0.3247 0.0005 0.4248  1 S 2.22
Ga: 0.1753 0.5005 0.0752  1 S 2.22

Calculated values
Formation energy from raw total energies   -0.545 eV per atom
Total magnetization   0.00 Bohr magnetons per cell
Space-group type   No. 14


Entry 7:
## Dy4SnPbC (GGA-PBE)

Data for a relaxed structure of Dy4SnPbC.

Cell lengths 6.8085, 6.8061, 8.7050 Å; angles 90.00, 113.02, 90.00 degrees
With the nearest neighbours (Å) after each atom.
Sites, in units of the cell vectors:
C: 0.2497 0.7500 0.4995  6 Dy 2.41-2.55
C: 0.7503 0.2500 0.5005  6 Dy 2.41-2.55
Dy: 0.5000 0.5000 0.5000  2 C 2.41
Dy: 0.9092 0.2500 0.8184  1 C 2.55
Dy: 0.0000 0.5000 0.5000  2 C 2.41
Dy: 0.0000 0.0000 0.5000  2 C 2.41
Dy: 0.5000 0.0000 0.5000  2 C 2.41
Dy: 0.0908 0.7500 0.1816  1 C 2.55
Dy: 0.5925 0.2500 0.1850  1 C 2.53
Dy: 0.4075 0.7500 0.8150  1 C 2.53
Sn: 0.1100 0.2500 0.2199  9 Dy 3.22-3.42
Sn: 0.8900 0.7500 0.7801  9 Dy 3.22-3.42
Pb: 0.3925 0.2500 0.7850  9 Dy 3.20-3.41
Pb: 0.6075 0.7500 0.2150  9 Dy 3.20-3.41

Calculated values
Total magnetization   0.00 Bohr magnetons per cell
Space-group type   No. 63
Energy relative to the elements   -0.604 eV per atom


Entry 8:
## Re2SiBr (GGA-PBE)

Data for a relaxed structure of Re2SiBr.

Cell lengths 9.7642, 9.7642, 9.7642 Å; angles 17.17, 17.17, 17.17 degrees
With the nearest neighbours (Å) after each atom.
Sites, in units of the cell vectors:
Re: 0.2553 0.2553 0.2553  3 Si 2.66, 9 Re 2.67-2.92
Re: 0.9935 0.9935 0.9935  9 Re 2.67-2.92, 3 Br 2.71
Si: 0.5174 0.5174 0.5174  3 Re 2.66, 6 Si 2.92
Br: 0.7338 0.7338 0.7338  3 Re 2.71, 6 Br 2.92

Calculated values
Formation energy from raw total energies   0.487 eV per atom
Total magnetization   0.00 Bohr magnetons per cell
Space-group type   No. 160